Record 1
# SbTe2IBr

An optimized crystal structure of SbTe2IBr (PBE-GGA, the Alexandria database).

Unit cell a=5.7134 b=5.7134 c=5.6062 alpha=90.00 beta=90.00 gamma=90.00
With the nearest neighbours (Å) after each atom.
Element x y z (fractional)
Sb: 0.0000 0.0000 0.0000  8 Te 4.00, 4 I 4.04
Te: 0.0000 0.5000 0.5000  2 Br 2.86
Te: 0.5000 0.0000 0.5000  2 Br 2.86
I: 0.5000 0.5000 0.0000  2 Br 2.80
Br: 0.5000 0.5000 0.5000  2 I 2.80, 4 Te 2.86

Output
For the energy above the most stable polymorph in this dataset, the calculation gives 1.941 eV/f.u. For the uncorrected formation energy, the calculation gives 0.80 eV/atom. For the magnetization, the calculation gives 0.1 μB/f.u. Its symmetry is No. 123. As for the volume: 36.60 Å³ per atom.

Record 2
# SbTeI2Br

An optimized crystal structure of SbTeI2Br (PBE-GGA, the Alexandria database).

Unit cell a=5.7182 b=5.7182 c=6.0152 alpha=90.00 beta=90.00 gamma=90.00
With the nearest neighbours (Å) after each atom.
Element x y z (fractional)
Sb: 0.0000 0.0000 0.0000  4 Te 4.04, 8 I 4.15
Te: 0.5000 0.5000 0.0000  2 Br 3.01
I: 0.0000 0.5000 0.5000  2 Br 2.86
I: 0.5000 0.0000 0.5000  2 Br 2.86
Br: 0.5000 0.5000 0.5000  4 I 2.86, 2 Te 3.01

Output
For the energy above the most stable polymorph in this dataset, the calculation gives 2.343 eV/f.u. For the uncorrected formation energy, the calculation gives 0.71 eV/atom. For the magnetization, the calculation gives 1.0 μB/f.u. Its symmetry is No. 123. As for the volume: 39.34 Å³ per atom.

Respective D(E_F) values: 1.280, 0.713 states/eV per atom.